{"formula": "Li2Cu3Pd7", "functional": "PBE", "state": "optimized geometry", "magmom_total_mub_per_cell": 0.00, "crystal_system": "monoclinic", "formation_enthalpy_0k_ev_per_atom": -0.0590, "cell": [[2.717, 0.000, 0.000], [0.000, 4.512, 0.124], [0.000, -1.831, 14.216]], "species": ["Li", "Li", "Cu", "Cu", "Cu", "Pd", "Pd", "Pd", "Pd", "Pd", "Pd", "Pd"], "fractional_positions": [[0.500, 0.682, 0.294], [0.500, 0.318, 0.706], [0.500, 0.500, 0.000], [0.000, 0.209, 0.372], [0.000, 0.791, 0.628], [0.500, 0.736, 0.457], [0.500, 0.264, 0.543], [0.000, 0.632, 0.147], [0.000, 0.000, 0.000], [0.000, 0.368, 0.853], [0.500, 0.850, 0.798], [0.500, 0.150, 0.202]]}